Material: H12PdC4N2O10
Method: DFT, PBEsol
State: optimized geometry

Cell and atoms, written as CIF:
```
data_H12PdC4N2O10
_chemical_formula_sum 'H24 Pd2 C8 N4 O20'
_symmetry_space_group_name_H-M 'P 1 21/c 1'
_symmetry_Int_Tables_number 14
_cell_length_a 7.103
_cell_length_b 13.670
_cell_length_c 6.417
_cell_angle_alpha 90.00
_cell_angle_beta 113.74
_cell_angle_gamma 90.00
loop_
_symmetry_equiv_pos_as_xyz
'x,y,z'
'-x,-y,-z'
'-x,y+1/2,-z+1/2'
'x,-y+1/2,z+1/2'
loop_
_atom_site_label
_atom_site_fract_x
_atom_site_fract_y
_atom_site_fract_z
H1 0.008 0.108 0.153
H2 0.052 0.205 0.015
H3 0.105 0.612 0.637
H4 0.183 0.693 0.481
H5 0.370 0.673 0.062
H6 0.488 0.731 0.540
Pd1 0.500 0.000 0.000
C1 0.246 0.009 0.539
C2 0.253 0.114 0.632
N1 0.057 0.653 0.488
O1 0.138 0.508 0.836
O2 0.161 0.180 0.502
O3 0.358 0.555 0.186
O4 0.360 0.123 0.850
O5 0.361 0.730 0.962
```

The total energy is -6.1862 eV per atom. The density of states at the Fermi level is 0.00 states/eV/cell.